1.
RbCr2SiC | SCAN | single point on PBEsol structure

Geometry as POSCAR:
```
RbCr2SiC
1.0
-3.4322 -1.9269 1.2020
2.2703 -2.8532 1.9086
-0.0782 2.9236 4.4635
Cr C Rb Si
2 1 1 1
Direct
0.0000 0.5000 0.0000
0.5000 0.0000 0.0000
0.0000 0.0000 0.0000
0.0000 0.0000 0.5000
0.5000 0.5000 0.5000
```

Volume, Å³/cell: 90.38
Uncorrected formation energy, eV per atom: 1.024

---

2.
Rb2GaSb2 | SCAN | single point on PBEsol structure

Geometry as POSCAR:
```
Rb2GaSb2
1.0
9.2353 0.0000 0.0000
0.0000 10.7095 0.0000
0.0000 0.0000 15.3398
Rb Sb Ga
16 16 8
Direct
0.2748 0.5315 0.0178
0.7748 0.4685 0.4822
0.7252 0.0315 0.9822
0.6036 0.0331 0.7297
0.2252 0.9685 0.5178
0.2748 0.9685 0.0178
0.3964 0.9669 0.2703
0.3964 0.5331 0.2703
0.8964 0.0331 0.2297
0.6036 0.4669 0.7297
0.1036 0.5331 0.7703
0.2252 0.5315 0.5178
0.1036 0.9669 0.7703
0.7748 0.0315 0.4822
0.7252 0.4685 0.9822
0.8964 0.4669 0.2297
0.3787 0.7500 0.6963
0.4931 0.2500 0.1352
0.8585 0.7500 0.6539
0.1415 0.2500 0.3461
0.6415 0.7500 0.1539
0.4884 0.2500 0.5666
0.9931 0.7500 0.3648
0.0069 0.2500 0.6352
0.6213 0.2500 0.3037
0.1213 0.7500 0.1963
0.5116 0.7500 0.4334
0.8787 0.2500 0.8037
0.9884 0.7500 0.9334
0.5069 0.7500 0.8648
0.0116 0.2500 0.0666
0.3585 0.2500 0.8461
0.7226 0.7500 0.3193
0.9011 0.7500 0.0933
0.2774 0.2500 0.6807
0.5989 0.7500 0.5933
0.2226 0.2500 0.1807
0.0989 0.2500 0.9067
0.4011 0.2500 0.4067
0.7774 0.7500 0.8193
```

Volume, Å³/cell: 1517.20
Uncorrected formation energy, eV per atom: -0.486

---

3.
Al2BPtAu | SCAN | single point on PBEsol structure

Geometry as POSCAR:
```
Al2BPtAu
1.0
-1.6634 2.3680 2.6801
-4.3403 -1.3463 -1.5043
0.0117 -3.5836 3.1736
Pt Au B Al
1 1 1 2
Direct
0.5000 0.5000 0.5000
0.0000 0.0000 0.0000
0.5000 0.0000 0.0000
0.0000 0.0000 0.5000
0.0000 0.5000 0.0000
```

DFT formation energy, eV/atom: 0.4915
Volume, Å³/cell: 90.38

---

4.
OsW2Au | SCAN | single point on PBEsol structure

Geometry as POSCAR:
```
OsW2Au
1.0
-1.1660 -1.0038 2.4617
0.7381 -4.2353 -1.3773
4.6727 2.6992 1.6022
W Os Au
2 1 1
Direct
0.7178 0.2178 0.4356
0.9830 0.9830 0.9661
0.2749 0.7749 0.5498
0.5243 0.5243 0.0485
```

Polymorph energy (0 for the lowest one), meV/atom: 302
DFT formation energy, eV/atom: 0.4815
Volume, Å³/cell: 64.85

---

5.
In2AgHg | SCAN | single point on PBEsol structure

Geometry as POSCAR:
```
In2AgHg
1.0
-0.9566 -0.7871 2.9946
1.5674 -3.8904 -0.5218
5.5716 1.9381 2.2853
Ag Hg In
1 1 2
Direct
0.5000 0.5000 0.0000
0.5000 0.5000 0.5000
0.9978 0.0000 0.7600
0.0022 0.0000 0.2400
```

DFT formation energy, eV/atom: 0.0809
Volume, Å³/cell: 86.65

---

6.
YZn3Au | SCAN | single point on PBEsol structure

Geometry as POSCAR:
```
YZn3Au
1.0
-2.6257 3.2114 2.3014
-3.9293 -2.4109 -1.1189
0.4121 -2.5256 3.9945
Zn Au Y
3 1 1
Direct
0.5000 0.0000 0.0000
0.0000 0.0000 0.5000
0.0000 0.5000 0.0000
0.0000 0.0000 0.0000
0.5000 0.5000 0.5000
```

DFT formation energy, eV/atom: -0.1136
Volume, Å³/cell: 106.76

---

7.
BaLa3Pd | SCAN | single point on PBEsol structure

Geometry as POSCAR:
```
BaLa3Pd
1.0
5.7324 0.0000 0.0000
0.0000 5.7324 0.0000
0.0000 0.0000 5.7324
Ba Pd La
1 1 3
Direct
0.0000 0.0000 0.0000
0.5000 0.5000 0.5000
0.5000 0.0000 0.0000
0.0000 0.5000 0.0000
0.0000 0.0000 0.5000
```

DFT formation energy, eV/atom: 1.0121
Volume, Å³/cell: 188.37

---

8.
TlSb3Pt | SCAN | single point on PBEsol structure

Geometry as POSCAR:
```
TlSb3Pt
1.0
5.2781 0.0000 0.0000
0.0000 5.2781 0.0000
0.0000 0.0000 5.2781
Sb Tl Pt
3 1 1
Direct
0.0000 0.5000 0.0000
0.0000 0.0000 0.5000
0.5000 0.0000 0.0000
0.5000 0.5000 0.5000
0.0000 0.0000 0.0000
```

Polymorph energy (0 for the lowest one), meV/atom: 0
Volume, Å³/cell: 147.04
Uncorrected formation energy, eV per atom: 0.306

---

9.
Cr3Pb2 | SCAN | single point on PBEsol structure

Geometry as POSCAR:
```
Cr3Pb2
1.0
-1.1703 0.8955 2.7494
-2.9753 0.9145 0.2053
-4.3533 -9.5201 3.0175
Cr Pb
3 2
Direct
0.1882 0.1882 0.4353
0.8118 0.8118 0.5647
0.0000 0.0000 0.0000
0.5944 0.5944 0.2167
0.4056 0.4056 0.7833
```

DFT formation energy, eV/atom: 0.6624
Volume, Å³/cell: 90.55

---

10.
TlTe2RhN | SCAN | single point on PBEsol structure

Geometry as POSCAR:
```
TlTe2RhN
1.0
-0.5146 -0.6660 3.8483
5.5830 -0.5307 0.6548
0.4078 5.5396 1.0133
Te Tl Rh N
2 1 1 1
Direct
0.0000 0.5000 0.0000
0.0000 0.0000 0.5000
0.0000 0.0000 0.0000
0.5000 0.5000 0.5000
0.5000 0.0000 0.0000
```

Volume, Å³/cell: 125.59
Uncorrected formation energy, eV per atom: 1.660

---

11.
Cd2TcMo | SCAN | single point on PBEsol structure

Geometry as POSCAR:
```
Cd2TcMo
1.0
2.7911 0.0000 0.0000
-1.3956 4.5744 0.0066
0.0000 -0.5295 5.2469
Tc Cd Mo
1 2 1
Direct
0.7455 0.4909 0.2838
0.2506 0.5012 0.7607
0.0014 0.0029 0.9891
0.5025 0.0050 0.4664
```

Polymorph energy (0 for the lowest one), meV/atom: 37
DFT formation energy, eV/atom: 0.4101
Volume, Å³/cell: 67.00

---

12.
In2GaSiCl | SCAN | single point on PBEsol structure

Geometry as POSCAR:
```
In2GaSiCl
1.0
-1.5669 2.2454 -3.6684
-4.3336 -3.2931 -0.1646
-2.7197 3.4165 3.2530
Cl In Si Ga
1 2 1 1
Direct
0.5000 0.5000 0.5000
0.0000 0.0000 0.5000
0.0000 0.5000 0.0000
0.5000 0.0000 0.0000
0.0000 0.0000 0.0000
```

Volume, Å³/cell: 135.73
Uncorrected formation energy, eV per atom: 0.251

---

13.
ZnCdPb2 | SCAN | single point on PBEsol structure

Geometry as POSCAR:
```
ZnCdPb2
1.0
-0.0449 -2.7954 1.9529
-1.3598 -2.8912 -1.1923
8.1800 -4.5048 -3.2824
Pb Zn Cd
2 1 1
Direct
0.7605 0.7605 0.7185
0.9948 0.9948 0.0154
0.5055 0.5055 0.4834
0.2391 0.2391 0.2826
```

Polymorph energy (0 for the lowest one), meV/atom: 9
DFT formation energy, eV/atom: 0.1285
Volume, Å³/cell: 97.70

---

14.
ZrTlCl2 | SCAN | single point on PBEsol structure

Geometry as POSCAR:
```
ZrTlCl2
1.0
3.2689 0.0000 0.0000
0.0000 5.1389 0.0000
0.0000 0.0000 5.1389
Cl Tl Zr
2 1 1
Direct
0.0000 0.0000 0.5000
0.0000 0.5000 0.0000
0.5000 0.5000 0.5000
0.5000 0.0000 0.0000
```

Polymorph energy (0 for the lowest one), meV/atom: 589
Volume, Å³/cell: 86.33
Uncorrected formation energy, eV per atom: -0.486

---

15.
TaFeNi2 | SCAN | single point on PBEsol structure

Geometry as POSCAR:
```
TaFeNi2
1.0
-3.3232 0.6749 1.1499
1.0942 -0.3843 3.3877
1.9097 3.5024 -2.1118
Ni Ta Fe
2 1 1
Direct
0.2500 0.7500 0.5000
0.7500 0.2500 0.5000
0.5000 0.5000 0.0000
0.0000 0.0000 0.0000
```

DFT formation energy, eV/atom: -0.2285
Volume, Å³/cell: 47.91

---

16.
P2S2Br | SCAN | single point on PBEsol structure

Geometry as POSCAR:
```
P2S2Br
1.0
4.6822 0.0000 0.0000
0.0000 4.6822 0.0000
0.0000 0.0000 4.8494
Br S P
1 2 2
Direct
0.0000 0.0000 0.0000
0.0000 0.5000 0.0000
0.5000 0.0000 0.0000
0.0000 0.0000 0.5000
0.5000 0.5000 0.5000
```

Volume, Å³/cell: 106.31
Uncorrected formation energy, eV per atom: 1.760

---

17.
TaCoP2S | SCAN | single point on PBEsol structure

Geometry as POSCAR:
```
TaCoP2S
1.0
4.6350 0.0000 0.0000
0.0000 4.7653 0.0000
0.0000 0.0000 4.7653
P S Ta Co
2 1 1 1
Direct
0.0000 0.0000 0.5000
0.0000 0.5000 0.0000
0.5000 0.0000 0.0000
0.0000 0.0000 0.0000
0.5000 0.5000 0.5000
```

Polymorph energy (0 for the lowest one), meV/atom: 0
Volume, Å³/cell: 105.25
Uncorrected formation energy, eV per atom: 0.670

---

18.
FeTc | SCAN | single point on PBEsol structure

Geometry as POSCAR:
```
FeTc
1.0
-1.7720 1.7497 0.7100
-1.6899 -1.9039 0.4744
1.1560 -0.1902 3.3539
Fe Tc
1 1
Direct
0.0000 0.0000 0.0000
0.5000 0.5000 0.5000
```

DFT formation energy, eV/atom: 0.2006
Volume, Å³/cell: 23.82

---

19.
BaCdSe2N | SCAN | single point on PBEsol structure

Geometry as POSCAR:
```
BaCdSe2N
1.0
4.3326 0.0000 0.0000
0.0000 5.3603 0.0000
0.0000 0.0000 5.3603
Cd Se N Ba
1 2 1 1
Direct
0.0000 0.0000 0.0000
0.0000 0.0000 0.5000
0.0000 0.5000 0.0000
0.5000 0.0000 0.0000
0.5000 0.5000 0.5000
```

Volume, Å³/cell: 124.49
Uncorrected formation energy, eV per atom: -0.295

---

20.
BeReAu2 | SCAN | single point on PBEsol structure

Geometry as POSCAR:
```
BeReAu2
1.0
-0.7234 -0.2142 2.5700
-4.3837 -0.6851 -1.2911
3.3168 -4.1209 -0.8055
Au Be Re
2 1 1
Direct
0.9989 0.9989 0.9978
0.7849 0.2849 0.5699
0.5001 0.5001 0.0002
0.2160 0.7160 0.4321
```

DFT formation energy, eV/atom: 0.2997
Volume, Å³/cell: 57.39